DFT (PBE-GGA) results for a relaxed Ho3C2 crystal.

Output
The density is 8964 kg/m³. As for the density of states at the Fermi level: 4.724 states/eV per cell. As for the excess energy over the best structure of this formula in the dataset: 0.079 eV per atom.

Cell lengths 6.8396, 6.8396, 6.8396 Å; angles 53.57, 53.57, 53.57 degrees
Atoms (fractional coordinates):
1 Ho 0.0626 0.7500 0.4374
2 Ho 0.2500 0.5626 0.9374
3 Ho 0.4374 0.0626 0.7500
4 Ho 0.5626 0.9374 0.2500
5 Ho 0.7500 0.4374 0.0626
6 Ho 0.9374 0.2500 0.5626
7 C 0.1558 0.1558 0.1558
8 C 0.3442 0.3442 0.3442
9 C 0.6558 0.6558 0.6558
10 C 0.8442 0.8442 0.8442